Entry from the Alexandria database: a relaxed Ba2ScAs2O6 crystal (PBE).

Output
crystal system: monoclinic
VASP energy: -145.921 eV for the cell shown
formation energy without anion corrections: -2.158 eV/atom

Cell lengths 12.7685, 5.5437, 6.4404 Å; angles 90.00, 117.97, 90.00 degrees
Last column: nearest neighbours and their distance in Å.
Space group C2/m (No. 12)
Inequivalent atoms, fractional coordinates:
Ba  0.2319  0.0000  0.2318 x4  3 O 2.53-2.80
Sc  0.0000  0.0000  0.5000 x2  6 O 2.05-2.22
As  0.0122  0.5000  0.8063 x4  2 O 1.75
O  0.0797  0.2599  0.3521 x8  1 As 1.75
O  0.1618  0.0000  0.7941 x4  1 Sc 2.05



Entry from the Alexandria database: a relaxed TlAuCl crystal (PBE).

Output
crystal system: tetragonal
VASP energy: -15.564 eV for the cell shown
energy above the lowest structure with this stoichiometry: 0.112 eV per atom
formation energy without anion corrections: -0.097 eV/atom

Cell lengths 3.6084, 3.6084, 11.2167 Å; angles 90.00, 90.00, 90.00 degrees
Last column: nearest neighbours and their distance in Å.
Space group I4mm (No. 107)
Inequivalent atoms, fractional coordinates:
Tl  0.0000  0.0000  0.0000 x2  4 Au 3.01, 1 Cl 3.33
Au  0.0000  0.0000  0.6426 x2  4 Tl 3.01, 4 Cl 3.08
Cl  0.0000  0.0000  0.2969 x2  4 Au 3.08, 5 Tl 3.33-3.42



Entry from the Alexandria database: a relaxed YHf2TcS crystal (PBE).

Output
crystal system: tetragonal
VASP energy: -39.268 eV for the cell shown
formation energy without anion corrections: 0.319 eV/atom

Cell lengths 5.0865, 5.0865, 4.5811 Å; angles 90.00, 90.00, 90.00 degrees
Last column: nearest neighbours and their distance in Å.
Space group P4/mmm (No. 123)
Inequivalent atoms, fractional coordinates:
Y  0.0000  0.0000  0.0000 x1  8 Hf 3.42, 4 S 3.60
Hf  0.0000  0.5000  0.5000 x2  2 Tc 2.54
Tc  0.5000  0.5000  0.5000 x1  2 S 2.29, 4 Hf 2.54
S  0.5000  0.5000  0.0000 x1  2 Tc 2.29



Entry from the Alexandria database: a relaxed CaAcY2 crystal (PBE).

Output
crystal system: trigonal
VASP energy: -56.119 eV for the cell shown
energy above the lowest structure with this stoichiometry: 0.000 eV per atom
E_form: 0.083 eV per atom

Cell lengths 3.7607, 3.7607, 36.4816 Å; angles 90.00, 90.00, 120.00 degrees
Last column: nearest neighbours and their distance in Å.
Space group R-3m (No. 166, hexagonal axes)
Inequivalent atoms, fractional coordinates:
Ca  0.0000  0.0000  0.0000 x3  6 Ca 3.76, 6 Y 3.77
Ac  0.0000  0.0000  0.5000 x3  6 Y 3.71, 6 Ac 3.76
Y  0.0000  0.0000  0.2490 x6  3 Ac 3.71, 6 Y 3.76, 3 Ca 3.77



Entry from the Alexandria database: a relaxed AcPm4Pr4 crystal (PBE).

Output
crystal system: triclinic
VASP energy: -84.164 eV for the cell shown
energy above the lowest structure with this stoichiometry: 0.000 eV per atom
E_form: 0.016 eV per atom

Cell lengths 6.4868, 9.2480, 11.2468 Å; angles 78.28, 89.97, 83.27 degrees
Last column: nearest neighbours and their distance in Å.
Space group P-1 (No. 2)
Inequivalent atoms, fractional coordinates:
Ac  0.2488  0.0002  0.2493 x2  8 Pm 3.71-3.76, 4 Pr 3.71-3.74
Pm  0.1362  0.6647  0.1360 x2  4 Pm 3.68-3.71, 7 Pr 3.69-3.82, 1 Ac 3.73
Pm  0.1445  0.6671  0.8059 x2  4 Pm 3.67-3.71, 7 Pr 3.67-3.80, 1 Ac 3.71
Pm  0.2484  0.9989  0.9173 x2  6 Pm 3.67-3.76, 3 Pr 3.68-3.70, 3 Ac 3.73-3.76
Pm  0.2515  0.9991  0.5835 x2  5 Pr 3.67-3.72, 4 Pm 3.68-3.76, 3 Ac 3.75-3.76
Pr  0.1365  0.6679  0.4748 x2  4 Pm 3.67-3.82, 7 Pr 3.69-3.82, 1 Ac 3.71
Pr  0.3550  0.3324  0.6958 x2  5 Pm 3.68-3.81, 6 Pr 3.69-3.82, 1 Ac 3.72
Pr  0.3621  0.3363  0.3621 x2  5 Pm 3.70-3.80, 6 Pr 3.70-3.80, 1 Ac 3.74
Pr  0.3625  0.3336  0.0251 x2  8 Pm 3.67-3.80, 3 Pr 3.68-3.80, 1 Ac 3.71



Entry from the Alexandria database: a relaxed BaZrBe crystal (PBE).

Output
crystal system: trigonal
VASP energy: -12.063 eV for the cell shown
energy above the lowest structure with this stoichiometry: 0.257 eV per atom
E_form: 0.711 eV per atom

Cell lengths 3.5404, 3.5404, 7.4285 Å; angles 90.00, 90.00, 120.00 degrees
Last column: nearest neighbours and their distance in Å.
Space group P3m1 (No. 156)
Inequivalent atoms, fractional coordinates:
Ba  0.0000  0.0000  0.0000 x1  3 Be 3.17, 6 Ba 3.54
Zr  0.3333  0.6667  0.5469 x1  3 Be 2.62
Be  0.6667  0.3333  0.3270 x1  3 Zr 2.62



Entry from the Alexandria database: a relaxed CaMoN3 crystal (PBE).

Output
crystal system: triclinic
VASP energy: -80.918 eV for the cell shown
formation energy without anion corrections: -0.530 eV/atom

Cell lengths 3.6482, 5.3005, 7.1414 Å; angles 90.66, 90.15, 90.75 degrees
Last column: nearest neighbours and their distance in Å.
Space group P1 (No. 1)
Inequivalent atoms, fractional coordinates:
Ca  0.0000  0.0000  0.0000 x1  4 N 2.36-2.55
Ca  0.0090  0.0041  0.5425 x1  5 N 2.36-2.58
Mo  0.4953  0.4622  0.7685 x1  3 N 1.80-2.00
Mo  0.5366  0.5063  0.2724 x1  5 N 1.84-2.06
N  0.0085  0.3355  0.7772 x1  2 Mo 1.89-2.00
N  0.0254  0.6680  0.2784 x1  1 N 1.38
N  0.2974  0.8510  0.2694 x1  1 N 1.38
N  0.4939  0.8017  0.7697 x1  1 Mo 1.80
N  0.5195  0.3191  0.0535 x1  1 Mo 1.84
N  0.5257  0.3219  0.4955 x1  2 Mo 1.88-2.08



Entry from the Alexandria database: a relaxed LaPrGa3 crystal (PBE).

Output
crystal system: orthorhombic
VASP energy: -88.333 eV for the cell shown
E_form: -0.659 eV per atom

Cell lengths 4.4639, 26.5037, 4.2863 Å; angles 90.00, 90.00, 90.00 degrees
Last column: nearest neighbours and their distance in Å.
Space group Cmcm (No. 63)
Inequivalent atoms, fractional coordinates:
La  0.0000  0.0725  0.2500 x4  12 Ga 3.32-3.47
Pr  0.0000  0.2029  0.7500 x4  7 Ga 3.16-3.30
Ga  0.0000  0.3275  0.7500 x4  2 Ga 2.58
Ga  0.0000  0.3816  0.2500 x4  3 Ga 2.51-2.58
Ga  0.0000  0.4764  0.2500 x4  3 Ga 2.48-2.51



Entry from the Alexandria database: a relaxed RbCr3P crystal (PBE).

Output
crystal system: cubic
VASP energy: -31.080 eV for the cell shown
energy above the lowest structure with this stoichiometry: 0.000 eV per atom
E_form: 0.834 eV per atom

Cell lengths 4.9967, 4.9967, 4.9967 Å; angles 90.00, 90.00, 90.00 degrees
Last column: nearest neighbours and their distance in Å.
Space group Pm-3m (No. 221)
Inequivalent atoms, fractional coordinates:
Rb  0.0000  0.0000  0.0000 x1  12 Cr 3.53
Cr  0.0000  0.5000  0.5000 x3  2 P 2.50
P  0.5000  0.5000  0.5000 x1  6 Cr 2.50



Entry from the Alexandria database: a relaxed TaAsBr2F crystal (PBE).

Output
crystal system: tetragonal
VASP energy: -22.741 eV for the cell shown
energy above the lowest structure with this stoichiometry: 0.000 eV per atom
formation energy without anion corrections: -0.204 eV/atom

Cell lengths 5.0345, 5.0345, 5.0597 Å; angles 90.00, 90.00, 90.00 degrees
Last column: nearest neighbours and their distance in Å.
Space group P4/mmm (No. 123)
Inequivalent atoms, fractional coordinates:
Ta  0.0000  0.0000  0.0000 x1  4 Br 2.52, 2 As 2.53
As  0.0000  0.0000  0.5000 x1  2 Ta 2.53
Br  0.0000  0.5000  0.0000 x2  2 Ta 2.52
F  0.5000  0.5000  0.5000 x1  4 As 3.56, 8 Br 3.57



Entry from the Alexandria database: a relaxed Er2Cu5Ni5 crystal (PBE).

Output
crystal system: orthorhombic
VASP energy: -62.004 eV for the cell shown
energy above the lowest structure with this stoichiometry: 0.000 eV per atom
E_form: -0.291 eV per atom

Cell lengths 4.0485, 4.8980, 8.4844 Å; angles 90.00, 90.00, 90.00 degrees
Last column: nearest neighbours and their distance in Å.
Space group Pmmm (No. 47)
Inequivalent atoms, fractional coordinates:
Er  0.0000  0.0000  0.0000 x1  6 Ni 2.81-2.84
Er  0.0000  0.5000  0.5000 x1  6 Ni 2.82-2.87
Cu  0.5000  0.0000  0.5000 x1  4 Cu 2.46, 4 Ni 2.46
Cu  0.5000  0.2503  0.2484 x4  5 Ni 2.44-2.48, 3 Cu 2.45-2.46
Ni  0.0000  0.0000  0.3348 x2  6 Cu 2.46-2.48
Ni  0.0000  0.5000  0.1623 x2  2 Ni 2.45, 4 Cu 2.48
Ni  0.5000  0.5000  0.0000 x1  4 Cu 2.44, 4 Ni 2.45



Entry from the Alexandria database: a relaxed Tb2PmSm3Se6 crystal (PBE).

Output
crystal system: monoclinic
VASP energy: -141.543 eV for the cell shown
formation energy without anion corrections: -1.808 eV/atom

Cell lengths 7.1623, 12.4743, 7.2018 Å; angles 90.00, 109.45, 90.00 degrees
Last column: nearest neighbours and their distance in Å.
Space group C2/m (No. 12)
Inequivalent atoms, fractional coordinates:
Tb  0.0000  0.1662  0.0000 x4  6 Se 2.89-2.91
Pm  0.0000  0.5000  0.0000 x2  6 Se 2.94-2.96
Sm  0.0000  0.0000  0.5000 x2  6 Se 2.92-2.97
Sm  0.0000  0.3375  0.5000 x4  6 Se 2.94-2.96
Se  0.2418  0.0000  0.2437 x4  2 Tb 2.89, 3 Sm 2.92-2.94, 1 Pm 2.94
Se  0.2480  0.1699  0.7529 x8  2 Tb 2.90-2.91, 3 Sm 2.95-2.97, 1 Pm 2.96



- Which of these has the highest VASP energy?
  BaZrBe